Below is an optimized crystal structure of P2PtBr, with properties calculated at the GGA-PBE level.

a b c (Å): 6.1797 6.1797 6.7563
angles (deg): 62.79 62.79 90.00
Element x y z (fractional)
P 0.3750 0.2950 0.7500
Br 0.2500 0.7500 0.5000
P 0.0450 0.6250 0.2500
Br 0.5000 0.5000 0.0000
P 0.7050 0.1250 0.2500
P 0.8750 0.9550 0.7500
Pt 0.7500 0.2500 0.5000
Pt 0.0000 0.0000 0.0000

offset from the most stable computed form: 0.395 eV per atom
crystal system: tetragonal
magnetization: 0.0 μB/f.u.
SG: I-42d
calculated total energy: -35.9 eV for the cell shown
formation energy (no corrections): 0.14 eV per atom